Record 1
A plane-wave DFT calculation with meta-GGA SCAN was carried out for CsCo2Os at its PBEsol-relaxed geometry.

Lattice parameters (Å, degrees): 6.407 6.407 6.407 90.00 90.00 90.00
Space group Fm-3m (No. 225)
Asymmetric unit:
Cs1 0.000 0.000 0.000
Co1 0.250 0.250 0.250
Os1 0.000 0.000 0.500

formation energy from the elements	1.980	eV per atom
Fermi-level density of states	11.92	states/eV/cell
crystal system	cubic

***

Record 2
A plane-wave DFT calculation with meta-GGA SCAN was carried out for CsCo2RhPb at its PBEsol-relaxed geometry.

Lattice parameters (Å, degrees): 4.785 4.785 6.335 90.00 90.00 90.00
Space group P4/mmm (No. 123)
Asymmetric unit:
Cs1 0.000 0.000 0.000
Co1 0.000 0.500 0.500
Rh1 0.500 0.500 0.000
Pb1 0.000 0.000 0.500

formation energy from the elements	1.693	eV per atom
Fermi-level density of states	5.30	states/eV/cell
crystal system	tetragonal